[1]
TaB3I | PBE | relaxed

Cell: 4.2665 4.2665 4.2665 Å, 90.00 90.00 90.00°
Fractional positions:
I 0.0000 0.0000 0.0000
B 0.0000 0.5000 0.0000
B 0.0000 0.0000 0.5000
B 0.5000 0.0000 0.0000
Ta 0.5000 0.5000 0.5000

Properties
Total DFT energy (no corrections): -19.6 eV for the cell shown
Offset from the most stable computed form: 979 meV/atom
Magnetization: 0.000 μB/f.u.
E_form (uncorrected): 2771 meV/atom

---

[2]
LiPtRh2 | PBE | relaxed

Cell: 4.1241 2.6912 5.1878 Å, 74.98 90.00 90.00°
Fractional positions:
Li 0.0000 0.3054 0.5165
Pt 0.5000 0.7030 0.7185
Rh 0.0000 0.0501 0.0241
Rh 0.5000 0.4416 0.2408

Properties
Total DFT energy (no corrections): -23.3 eV for the cell shown
ΔE_f: -0.663 eV/f.u.
Offset from the most stable computed form: 94 meV/atom
Magnetization: 0.000 μB/f.u.

---

[3]
BaBiH | PBE | relaxed

Cell: 5.5458 5.5462 7.0195 Å, 90.00 90.00 60.00°
Fractional positions:
Ba 0.8216 0.2272 0.7891
Ba 0.4883 0.8940 0.2891
Bi 0.1549 0.5606 0.0169
Bi 0.1550 0.5606 0.5613
H 0.8214 0.2277 0.2340
H 0.8214 0.2277 0.3441

Properties
Total DFT energy (no corrections): -21.7 eV for the cell shown
Offset from the most stable computed form: 0 meV/atom
Magnetization: 0.000 μB/f.u.

---

[4]
MoPtN2 | PBE | relaxed

Cell: 6.4907 6.4907 6.4907 Å, 27.33 27.33 27.33°
Fractional positions:
Mo 0.0000 0.0000 0.0000
Pt 0.5000 0.5000 0.5000
N 0.8939 0.8939 0.8939
N 0.1061 0.1061 0.1061

Properties
Total DFT energy (no corrections): -30.2 eV for the cell shown
Offset from the most stable computed form: 846 meV/atom
Magnetization: 0.000 μB/f.u.
E_form (uncorrected): 842 meV/atom

---

[5]
Ce4TlBi | PBE | relaxed

Cell: 5.6713 7.7445 8.9993 Å, 101.23 108.37 90.00°
Site moments in Bohr magnetons follow the coordinates.
Fractional positions:
Ce 0.5262 0.0391 0.8678  0.47
Ce 0.6584 0.4609 0.1322  0.47
Ce 0.4738 0.9609 0.1322  0.47
Ce 0.3416 0.5391 0.8678  0.47
Ce 0.0548 0.9106 0.6906  0.76
Ce 0.3643 0.5894 0.3094  0.76
Ce 0.9452 0.0894 0.3094  0.76
Ce 0.6357 0.4106 0.6906  0.76
Tl 0.5000 0.0000 0.5000  0.00
Tl 0.0000 0.5000 0.5000  0.00
Bi 0.9149 0.7500 0.0000  -0.01
Bi 0.0851 0.2500 0.0000  -0.01

Properties
Total DFT energy (no corrections): -62.5 eV for the cell shown
ΔE_f: -1.288 eV/f.u.
Offset from the most stable computed form: 0 meV/atom
Magnetization: 2.756 μB/f.u.

---

[6]
CePm5Ga3 | PBE | relaxed

Cell: 6.6919 9.1572 9.1565 Å, 120.00 90.00 90.00°
Site moments in Bohr magnetons follow the coordinates.
Fractional positions:
Ce 0.0000 0.0000 0.0000  1.01
Ce 0.5000 0.0000 0.0000  1.01
Pm 0.0000 0.6667 0.3335  0.03
Pm 0.5000 0.3333 0.6665  0.03
Pm 0.0000 0.3333 0.6665  0.03
Pm 0.5000 0.6667 0.3335  0.03
Pm 0.7500 0.6740 0.6740  0.09
Pm 0.7500 0.9999 0.3260  0.09
Pm 0.7500 0.3260 0.0000  0.09
Pm 0.2500 0.3260 0.3260  0.09
Pm 0.2500 0.0001 0.6740  0.09
Pm 0.2500 0.6740 0.0000  0.09
Ga 0.7500 0.3384 0.3384  -0.01
Ga 0.7500 0.0000 0.6616  -0.01
Ga 0.7500 0.6616 0.0000  -0.01
Ga 0.2500 0.6616 0.6616  -0.01
Ga 0.2500 0.0000 0.3384  -0.01
Ga 0.2500 0.3384 0.0000  -0.01

Properties
Total DFT energy (no corrections): -84.0 eV for the cell shown
ΔE_f: -3.229 eV/f.u.
Magnetization: 1.899 μB/f.u.

---

[7]
Tl3SnRu | PBE | relaxed

Cell: 5.2882 5.2882 5.2882 Å, 90.00 90.00 90.00°
Fractional positions:
Ru 0.0000 0.0000 0.0000
Tl 0.0000 0.5000 0.0000
Tl 0.0000 0.0000 0.5000
Tl 0.5000 0.0000 0.0000
Sn 0.5000 0.5000 0.5000

Properties
Total DFT energy (no corrections): -18.1 eV for the cell shown
ΔE_f: 2.228 eV/f.u.
Offset from the most stable computed form: 0 meV/atom
Magnetization: 0.000 μB/f.u.

---

[8]
Sm2Y3S6 | PBE | relaxed

Cell: 6.8481 6.8287 6.8446 Å, 80.41 70.60 59.91°
Fractional positions:
Sm 0.1655 0.6691 0.5000
Sm 0.8345 0.3309 0.5000
Y 0.0000 0.0000 0.0000
Y 0.3369 0.3261 0.0000
Y 0.6631 0.6739 0.0000
S 0.4140 0.6669 0.7582
S 0.7466 0.0000 0.7529
S 0.0809 0.3331 0.7582
S 0.2534 0.0000 0.2471
S 0.5860 0.3331 0.2418
S 0.9191 0.6669 0.2418

Properties
Total DFT energy (no corrections): -76.4 eV for the cell shown
Magnetization: 0.000 μB/f.u.
E_form (uncorrected): -2077 meV/atom

---

[9]
KFeN2 | PBE | relaxed

Cell: 5.5194 5.5194 5.5418 Å, 60.13 60.13 90.00°
Fractional positions:
K 0.5000 0.5000 0.0000
K 0.2500 0.7500 0.5000
Fe 0.0000 0.0000 0.0000
Fe 0.7500 0.2500 0.5000
N 0.9498 0.1250 0.2500
N 0.8002 0.6250 0.2500
N 0.3750 0.0502 0.7500
N 0.8750 0.1998 0.7500

Properties
Total DFT energy (no corrections): -52.7 eV for the cell shown
Offset from the most stable computed form: 0 meV/atom
Magnetization: 0.000 μB/f.u.
E_form (uncorrected): -34 meV/atom

---

[10]
SmY2In | PBE | relaxed

Cell: 3.5472 3.5472 12.2597 Å, 81.68 81.68 60.00°
Fractional positions:
Y 0.0875 0.0875 0.7375
Y 0.9125 0.9125 0.2625
Sm 0.5000 0.5000 0.5000
In 0.0000 0.0000 0.0000

Properties
Total DFT energy (no corrections): -20.0 eV for the cell shown
ΔE_f: 0.407 eV/f.u.
Offset from the most stable computed form: 377 meV/atom
Magnetization: 0.000 μB/f.u.

---

[11]
La2SeF | PBE | relaxed

Cell: 4.0114 4.0114 7.1151 Å, 73.63 73.63 60.00°
Fractional positions:
F 0.0000 0.0000 0.0000
Se 0.5000 0.5000 0.5000
La 0.2595 0.2595 0.2214
La 0.7405 0.7405 0.7786

Properties
Total DFT energy (no corrections): -23.8 eV for the cell shown
Offset from the most stable computed form: 0 meV/atom
Magnetization: 0.001 μB/f.u.
E_form (uncorrected): -2157 meV/atom

---

[12]
Nb2AlB | PBE | relaxed

Cell: 6.6942 6.6942 5.4619 Å, 52.21 52.21 90.00°
Fractional positions:
Nb 0.5853 0.1250 0.2500
Nb 0.1647 0.6250 0.2500
Nb 0.3750 0.4147 0.7500
Nb 0.8750 0.8353 0.7500
B 0.5000 0.5000 0.0000
B 0.2500 0.7500 0.5000
Al 0.0000 0.0000 0.0000
Al 0.7500 0.2500 0.5000

Properties
Total DFT energy (no corrections): -60.7 eV for the cell shown
ΔE_f: 0.202 eV/f.u.
Offset from the most stable computed form: 430 meV/atom
Magnetization: 0.000 μB/f.u.